Entry 1:
First-principles (GGA-PBE) data for an optimized crystal structure of AlCr2Pt, as listed in Alexandria via LeMat-Bulk.

Summary:
The energy relative to the elements is -7.11 kcal/mol of atoms. Its symmetry is No. 71.

Cell lengths 4.867, 4.867, 4.867 Å; angles 136.93, 137.19, 62.35 degrees
Fractional positions:
Cr 0.000 0.000 0.000
Cr 0.500 0.500 0.000
Pt 0.750 0.250 0.500
Al 0.250 0.750 0.500

Entry 2:
First-principles (GGA-PBE) data for an optimized crystal structure of FeNi2PI, as listed in Alexandria via LeMat-Bulk.

Summary:
Its symmetry is No. 123. The value obtained for the formation energy without anion corrections is 766 meV/atom.

Cell lengths 4.648, 4.100, 4.648 Å; angles 90.00, 90.00, 90.00 degrees
Fractional positions:
P 0.000 0.500 0.000
Ni 0.000 0.000 0.500
Ni 0.500 0.000 0.000
I 0.500 0.500 0.500
Fe 0.000 0.000 0.000

Values for DFT total energy, eV/atom, ordered as above
-7.566, -4.631
Values for total moment, μB per atom, ordered as above
0.000, 0.518